BaLi2MgIn4: optimized geometry, PBE.

```
BaLi2MgIn4
1.0
-3.401 -3.200 -1.230
0.221 -2.236 -4.274
4.698 -9.615 2.545
Mg In Li Ba
1 4 2 1
direct
0.500 0.500 0.500
0.880 0.880 0.359
0.406 0.406 0.782
0.120 0.120 0.641
0.594 0.594 0.218
0.780 0.780 0.661
0.220 0.220 0.339
0.000 0.000 0.000
```

Computed properties:
Energy of formation, eV per atom: -0.2994
Crystal system: trigonal
Calculated volume, Å³/atom: 26.858
M_tot, μB per cell: 0.00